Computed, not measured: a relaxed LaMgZr2 crystal at the PBE level of DFT.

Properties
Formation energy = 0.149 eV/atom
Mass density = 5.52 Mg/m³

abc: 5.613 5.613 6.065
angles: 83.97 83.97 33.20
Fractional coordinates of all 4 atoms:
1 Mg 0.256 0.256 0.233
2 La 0.506 0.506 0.493
3 Zr 0.738 0.738 0.791
4 Zr 0.000 0.000 0.982


Computed, not measured: a relaxed La2MgZr2 crystal at the PBE level of DFT.

Properties
Formation energy = 0.227 eV/atom
Mass density = 5.52 Mg/m³

abc: 8.061 8.061 4.488
angles: 90.00 90.00 90.00
Fractional coordinates of all 10 atoms:
1 La 0.338 0.162 0.500
2 La 0.662 0.838 0.500
3 La 0.162 0.662 0.500
4 La 0.838 0.338 0.500
5 Zr 0.864 0.636 0.000
6 Zr 0.636 0.136 0.000
7 Zr 0.364 0.864 0.000
8 Zr 0.136 0.364 0.000
9 Mg 0.500 0.500 0.000
10 Mg 0.000 0.000 0.000


Computed, not measured: a relaxed La4MgZr crystal at the PBE level of DFT.

Properties
Formation energy = 0.437 eV/atom
Mass density = 5.59 Mg/m³

abc: 6.556 6.556 6.556
angles: 60.00 60.00 60.00
Last column: magnetic moment on the atom in μB.
Fractional coordinates of all 6 atoms:
1 La 0.374 0.879 0.374  0.05
2 La 0.879 0.374 0.374  0.05
3 La 0.374 0.374 0.374  0.05
4 La 0.374 0.374 0.879  0.05
5 Zr 0.000 0.000 0.000  0.79
6 Mg 0.750 0.750 0.750  -0.01


Computed, not measured: a relaxed LaMg2Zr crystal at the PBE level of DFT.

Properties
Formation energy = 0.066 eV/atom
Mass density = 4.46 Mg/m³
Energy above the most stable polymorph in this dataset = 0.0324 eV per atom

abc: 5.276 5.276 5.276
angles: 60.00 60.00 60.00
Fractional coordinates of all 4 atoms:
1 La 0.500 0.500 0.500
2 Mg 0.750 0.750 0.750
3 Mg 0.250 0.250 0.250
4 Zr 0.000 0.000 0.000